Record 1
A geometry-optimized Y3Lu structure. Source: Alexandria via LeMat-Bulk, functional PBE.

a b c (Å): 3.6212 5.6121 6.2708
angles (deg): 90.00 90.00 90.00
With the nearest neighbours (Å) after each atom.
Space group Pmm2 (No. 25)
One atom of each set of equivalent atoms:
Y 0.0000 0.0000 0.0000 x1  8 Y 3.50-3.62, 4 Lu 3.61-3.63
Y 0.0000 0.5000 0.3360 x1  4 Lu 3.50, 8 Y 3.51-3.63
Y 0.5000 0.5000 0.8335 x1  2 Lu 3.49, 10 Y 3.50-3.63
Lu 0.5000 0.0000 0.5018 x1  10 Y 3.49-3.63, 2 Lu 3.62

Computed properties:
Formation energy from the elements = 0 meV/atom
Mass density = 5.76 g cm⁻³
DFT total energy = -5.98 eV per atom
Distance to the lowest polymorph of the same formula = 0.1 meV per atom

---

Record 2
A geometry-optimized HgPd2Pt5 structure. Source: Alexandria via LeMat-Bulk, functional PBE.

a b c (Å): 5.7331 11.4985 3.9172
angles (deg): 90.00 90.00 90.00
With the nearest neighbours (Å) after each atom.
Space group Pbam (No. 55)
One atom of each set of equivalent atoms:
Hg 0.0000 0.0000 0.0000 x2  4 Pd 2.80, 8 Pt 2.87-2.92
Pd 0.2456 0.1236 0.5000 x4  10 Pt 2.79-2.95, 2 Hg 2.80
Pt 0.0000 0.5000 0.0000 x2  6 Pt 2.81-2.88, 4 Pd 2.83, 2 Hg 2.87
Pt 0.0134 0.7507 0.0000 x4  7 Pt 2.77-2.88, 4 Pd 2.81-2.85, 1 Hg 2.87
Pt 0.2317 0.3676 0.5000 x4  6 Pt 2.77-2.81, 4 Pd 2.79-2.95, 2 Hg 2.92

Computed properties:
Formation energy from the elements = -17 meV/atom
Mass density = 17.86 g cm⁻³
DFT total energy = -5.13 eV per atom

---

Record 3
A geometry-optimized AcY3Ho4 structure. Source: Alexandria via LeMat-Bulk, functional PBE.

a b c (Å): 23.8662 3.5303 6.7044
angles (deg): 90.00 106.23 90.00
With the nearest neighbours (Å) after each atom.
Space group C2/m (No. 12)
One atom of each set of equivalent atoms:
Ac 0.0000 0.0000 0.0000 x2  2 Ac 3.53, 8 Y 3.79-3.83, 4 Ho 3.80
Y 0.0000 0.5000 0.5000 x2  2 Ho 3.38, 4 Y 3.43-3.53, 4 Ac 3.79
Y 0.1297 0.5000 0.8834 x4  5 Ho 3.31-3.52, 3 Y 3.43-3.53
Ho 0.1279 0.5000 0.3754 x4  3 Y 3.31-3.39, 5 Ho 3.45-3.53
Ho 0.2396 0.0000 0.2467 x4  7 Ho 3.45-3.74, 3 Y 3.47-3.52

Computed properties:
Formation energy from the elements = 190 meV/atom
Mass density = 7.06 g cm⁻³
DFT total energy = -5.04 eV per atom
Distance to the lowest polymorph of the same formula = 0.0 meV per atom

---

Record 4
A geometry-optimized ZrGaSe structure. Source: Alexandria via LeMat-Bulk, functional PBE.

a b c (Å): 3.7140 3.7140 8.5310
angles (deg): 90.00 90.00 90.00
With the nearest neighbours (Å) after each atom.
Space group P4/nmm (No. 129, origin choice 2)
One atom of each set of equivalent atoms:
Zr 0.2500 0.2500 0.2277 x2  5 Se 2.78-2.98, 4 Ga 2.97
Ga 0.2500 0.7500 0.5000 x2  4 Ga 2.63
Se 0.2500 0.2500 0.8787 x2  5 Zr 2.78-2.98

Computed properties:
Formation energy without anion corrections = -942 meV per atom
Mass density = 6.77 g cm⁻³
DFT total energy = -5.96 eV per atom
Distance to the lowest polymorph of the same formula = 0.0 meV per atom

---

Record 5
A geometry-optimized KFeIN2 structure. Source: Alexandria via LeMat-Bulk, functional PBE.

a b c (Å): 4.9565 4.9565 7.0632
angles (deg): 90.00 90.00 90.00
With the nearest neighbours (Å) after each atom.
Space group P4/mmm (No. 123)
One atom of each set of equivalent atoms:
K 0.0000 0.0000 0.0000 x1  4 N 2.48
Fe 0.5000 0.5000 0.5000 x1  4 I 3.50
I 0.0000 0.0000 0.5000 x1  4 Fe 3.50, 2 K 3.53
N 0.0000 0.5000 0.0000 x2  2 K 2.48

Computed properties:
Formation energy without anion corrections = 2284 meV per atom
Mass density = 2.39 g cm⁻³
DFT total energy = -3.27 eV per atom
Distance to the lowest polymorph of the same formula = 1357.5 meV per atom

---

Record 6
A geometry-optimized Cs2Cd3Pt2 structure. Source: Alexandria via LeMat-Bulk, functional PBE.

a b c (Å): 13.4003 4.7817 8.3682
angles (deg): 90.00 125.01 90.00
With the nearest neighbours (Å) after each atom.
Space group C2/m (No. 12)
One atom of each set of equivalent atoms:
Cs 0.1390 0.0000 0.2733 x4  2 Pt 3.44-3.81, 1 Cd 3.72
Cd 0.0000 0.5000 0.5000 x2  4 Pt 2.79, 2 Cd 2.93
Cd 0.1735 0.5000 0.9252 x4  3 Pt 2.82-2.86, 3 Cd 2.92-2.93
Pt 0.1072 0.0000 0.6976 x4  5 Cd 2.79-2.86, 1 Pt 2.88

Computed properties:
Formation energy from the elements = -214 meV/atom
Mass density = 7.51 g cm⁻³
DFT total energy = -2.58 eV per atom

---

Record 7
A geometry-optimized Ce3B2Rh9 structure. Source: Alexandria via LeMat-Bulk, functional PBE.

a b c (Å): 5.9007 5.9007 7.2200
angles (deg): 90.00 90.00 120.00
With the nearest neighbours (Å) after each atom.
Space group P-3m1 (No. 164)
One atom of each set of equivalent atoms:
Ce 0.0000 0.0000 0.0000 x1  12 Rh 2.94-2.95
Ce 0.3333 0.6667 0.3383 x2  12 Rh 2.93-2.98
B 0.3333 0.6667 0.8148 x2  6 Rh 2.08-2.17
Rh 0.0000 0.5000 0.0000 x3  2 B 2.17
Rh 0.1608 0.3216 0.6626 x6  1 B 2.08

Computed properties:
Formation energy from the elements = -781 meV/atom
Mass density = 10.44 g cm⁻³
DFT total energy = -7.73 eV per atom

---

Record 8
A geometry-optimized Rb2PSeBr6 structure. Source: Alexandria via LeMat-Bulk, functional PBE.

a b c (Å): 7.7388 7.7388 10.7608
angles (deg): 90.00 90.00 90.00
With the nearest neighbours (Å) after each atom.
Space group I4/mmm (No. 139)
One atom of each set of equivalent atoms:
Rb 0.0000 0.5000 0.2500 x4  12 Br 3.84-3.87
P 0.0000 0.0000 0.0000 x2  6 Br 2.56-2.59
Se 0.0000 0.0000 0.5000 x2  6 Br 2.79-2.91
Br 0.0000 0.0000 0.2403 x4  1 P 2.59, 1 Se 2.79
Br 0.2341 0.2341 0.0000 x8  1 P 2.56

Computed properties:
Formation energy without anion corrections = -727 meV per atom
Mass density = 3.92 g cm⁻³
DFT total energy = -2.81 eV per atom

---

Record 9
A geometry-optimized BeCrGeW2 structure. Source: Alexandria via LeMat-Bulk, functional PBE.

a b c (Å): 4.5446 4.5446 3.9605
angles (deg): 90.00 90.00 90.00
With the nearest neighbours (Å) after each atom.
Space group P4/mmm (No. 123)
One atom of each set of equivalent atoms:
Be 0.0000 0.0000 0.0000 x1  2 Cr 1.98
Cr 0.0000 0.0000 0.5000 x1  2 Be 1.98
Ge 0.5000 0.5000 0.0000 x1  8 W 3.01, 4 Be 3.21
W 0.0000 0.5000 0.5000 x2  2 Cr 2.27

Computed properties:
Formation energy from the elements = 1425 meV/atom
Mass density = 10.18 g cm⁻³
DFT total energy = -7.35 eV per atom